[1]
Below is a relaxed TbY2Co2B2As3 crystal, with properties calculated at the GGA-PBE level.

```
TbY2Co2B2As3
1.0
-1.9707 1.9707 11.3862
1.9707 -1.9707 11.3862
1.9707 1.9707 -11.3862
Tb Y Co B As
1 2 2 2 3
Direct
0.0000 0.0000 0.0000 Tb
0.3559 0.3559 0.0000 Y
0.6441 0.6441 0.0000 Y
0.2500 0.7500 0.5000 Co
0.7500 0.2500 0.5000 Co
0.2183 0.2183 0.0000 B
0.7817 0.7817 0.0000 B
0.1252 0.1252 0.0000 As
0.5000 0.5000 0.0000 As
0.8748 0.8748 0.0000 As
```

VASP energy	-6.671	eV per atom
magnetic moment	0.00	μB/f.u.
volume	177	Å³/cell

[2]
Below is a relaxed BaNaCo crystal, with properties calculated at the GGA-PBE level.

```
BaNaCo
1.0
0.0000 3.6568 3.6568
3.6568 0.0000 3.6568
3.6568 3.6568 0.0000
Ba Na Co
1 1 1
Direct
0.0000 0.0000 0.0000 Ba
0.5000 0.5000 0.5000 Na
0.2500 0.2500 0.2500 Co
```

magnetic moment	0.00	μB/f.u.
volume	98	Å³/cell
offset from the most stable computed form	0.0	meV per atom

[3]
Below is a relaxed NbInNiOs crystal, with properties calculated at the GGA-PBE level.

```
NbInNiOs
1.0
0.0000 3.1203 3.1203
3.1203 0.0000 3.1203
3.1203 3.1203 0.0000
Nb In Ni Os
1 1 1 1
Direct
0.0000 0.0000 0.0000 Nb
0.2500 0.2500 0.2500 In
0.5000 0.5000 0.5000 Ni
0.7500 0.7500 0.7500 Os
```

VASP energy	-7.111	eV per atom
magnetic moment	0.48	μB/f.u.
volume	61	Å³/cell

[4]
Below is a relaxed TaZnNiPd crystal, with properties calculated at the GGA-PBE level.

```
TaZnNiPd
1.0
0.0000 3.0742 3.0742
3.0742 0.0000 3.0742
3.0742 3.0742 0.0000
Ta Zn Ni Pd
1 1 1 1
Direct
0.0000 0.0000 0.0000 Ta
0.5000 0.5000 0.5000 Zn
0.7500 0.7500 0.7500 Ni
0.2500 0.2500 0.2500 Pd
```

magnetic moment	0.00	μB/f.u.
volume	58	Å³/cell
energy of formation	-0.25	eV per atom
offset from the most stable computed form	0.0	meV per atom

What did the second record say?
Below is a relaxed BaNaCo crystal, with properties calculated at the GGA-PBE level.

```
BaNaCo
1.0
0.0000 3.6568 3.6568
3.6568 0.0000 3.6568
3.6568 3.6568 0.0000
Ba Na Co
1 1 1
Direct
0.0000 0.0000 0.0000 Ba
0.5000 0.5000 0.5000 Na
0.2500 0.2500 0.2500 Co
```

magnetic moment	0.00	μB/f.u.
volume	98	Å³/cell
offset from the most stable computed form	0.0	meV per atom

> Which value of magnetic moment does entry 4 give?

0.00 μB/f.u.

> What is the magnetic moment in the first record?

0.00 μB/f.u.